Computed, not measured: crystalline LiAl2Pd at its relaxed geometry at the PBEsol level of DFT.

Summary:
- space group = Fm-3m (225)
- formation energy (eV/atom) = -0.648

Cell: 4.276 4.276 4.276 Å, 60.00 60.00 60.00°
Sites, in units of the cell vectors:
Al 0.250 0.250 0.250
Al 0.750 0.750 0.750
Pd 0.500 0.500 0.500
Li 0.000 0.000 0.000



Computed, not measured: crystalline NdZnRh at its relaxed geometry at the PBEsol level of DFT.

Summary:
- space group = Pnma (62)
- formation energy (eV/atom) = -0.611

Cell: 4.071 6.969 8.110 Å, 90.00 90.00 90.00°
Sites, in units of the cell vectors:
Rh 0.750 0.240 0.119
Rh 0.750 0.740 0.381
Rh 0.250 0.760 0.881
Rh 0.250 0.260 0.619
Zn 0.250 0.638 0.564
Zn 0.750 0.362 0.436
Zn 0.750 0.862 0.064
Zn 0.250 0.138 0.936
Nd 0.750 0.464 0.813
Nd 0.250 0.036 0.313
Nd 0.250 0.536 0.187
Nd 0.750 0.964 0.687



Computed, not measured: crystalline Zr2CrNi at its relaxed geometry at the PBEsol level of DFT.

Summary:
- space group = P4/mmm (123)
- formation energy (eV/atom) = -0.057

Cell: 3.212 4.466 4.466 Å, 90.00 90.00 90.00°
Each line ends with the local moment (μB).
Sites, in units of the cell vectors:
Cr 0.500 0.500 0.500  0.94
Ni 0.500 0.000 0.000  0.02
Zr 0.000 0.000 0.500  -0.09
Zr 0.000 0.500 0.000  -0.09



Computed, not measured: crystalline Li3CrO4 at its relaxed geometry at the PBEsol level of DFT.

Summary:
- uncorrected formation energy (eV/atom) = -2.00
- space group = P2/c (13)
- offset from the most stable computed form (eV/atom) = 0.0482

Cell: 5.672 5.693 12.373 Å, 102.76 90.00 90.00°
Each line ends with the local moment (μB).
Sites, in units of the cell vectors:
Li 0.513 0.000 0.000  0.00
Li 0.022 0.000 0.000  0.00
Li 0.801 0.000 0.500  0.00
Li 0.292 0.000 0.500  0.00
Li 0.276 0.157 0.833  0.00
Li 0.778 0.173 0.838  0.00
Li 0.037 0.338 0.671  0.00
Li 0.039 0.157 0.333  0.00
Li 0.530 0.500 0.000  0.00
Li 0.536 0.173 0.338  0.00
Li 0.278 0.337 0.171  0.00
Li 0.785 0.500 0.500  0.00
Li 0.278 0.663 0.829  0.00
Li 0.536 0.827 0.662  0.00
Li 0.039 0.843 0.667  0.00
Li 0.037 0.662 0.329  0.00
Li 0.778 0.827 0.162  0.00
Li 0.276 0.843 0.167  0.00
Cr 0.541 0.303 0.666  1.05
Cr 0.057 0.500 0.000  0.96
Cr 0.773 0.303 0.166  1.05
Cr 0.257 0.500 0.500  0.96
Cr 0.773 0.697 0.834  1.05
Cr 0.541 0.697 0.334  1.05
O 0.305 0.108 0.671  0.00
O 0.256 0.266 0.996  0.00
O 0.769 0.099 0.662  0.00
O 0.544 0.427 0.819  -0.05
O 0.010 0.108 0.171  0.00
O 0.058 0.266 0.496  0.00
O 0.012 0.433 0.848  -0.02
O 0.545 0.099 0.162  0.00
O 0.529 0.274 0.513  -0.03
O 0.786 0.726 0.987  -0.03
O 0.303 0.567 0.652  -0.02
O 0.771 0.573 0.681  -0.05
O 0.771 0.427 0.319  -0.05
O 0.303 0.433 0.348  -0.02
O 0.786 0.274 0.013  -0.03
O 0.529 0.726 0.487  -0.03
O 0.545 0.901 0.838  0.00
O 0.012 0.567 0.152  -0.02
O 0.058 0.734 0.504  0.00
O 0.010 0.892 0.829  0.00
O 0.544 0.573 0.181  -0.05
O 0.769 0.901 0.338  0.00
O 0.256 0.734 0.004  0.00
O 0.305 0.892 0.329  0.00



Computed, not measured: crystalline CeGe3Pd at its relaxed geometry at the PBEsol level of DFT.

Summary:
- space group = I4mm (107)
- formation energy (eV/atom) = -0.616

Cell: 4.448 4.448 5.783 Å, 112.62 112.62 90.00°
Each line ends with the local moment (μB).
Sites, in units of the cell vectors:
Ge 0.654 0.154 0.308  -0.01
Ge 0.154 0.654 0.308  -0.01
Ge 0.009 0.009 0.018  -0.01
Pd 0.761 0.761 0.523  -0.01
Ce 0.416 0.416 0.831  0.73



Computed, not measured: crystalline GaRe3W at its relaxed geometry at the PBEsol level of DFT.

Summary:
- space group = Pm-3m (221)
- formation energy (eV/atom) = 1.928

Cell: 4.394 4.394 4.394 Å, 90.00 90.00 90.00°
Sites, in units of the cell vectors:
Re 0.000 0.500 0.000
Re 0.000 0.000 0.500
Re 0.500 0.000 0.000
Ga 0.000 0.000 0.000
W 0.500 0.500 0.500



The records above yield M_tot values of 0.00; 0.00; 0.81; 6.00; 0.77; 0.00 μB per cell, respectively.